VInO2F: optimized geometry, PBE with a Hubbard U.

Total moment = 3.0 μB/cell
Total DFT energy (no corrections) = -5.467 eV per atom
Symmetry = P4/mmm (123)

Structure (POSCAR):
```
VInO2F
1.0
4.1816 0.0000 0.0000
0.0000 4.1816 0.0000
0.0000 0.0000 4.1284
V In O F
1 1 2 1
direct
0.0000 0.0000 0.0000
0.5000 0.5000 0.5000
0.0000 0.5000 0.5000
0.5000 0.0000 0.5000
0.5000 0.5000 0.0000
```